(1)
First-principles (PBE) data for a relaxed La8GeP3I4 crystal, as listed in Alexandria.

Calculated values
The uncorrected formation energy comes out at -1371 meV per atom.

Cell lengths 9.286, 9.286, 9.286 Å; angles 55.83, 55.83, 55.83 degrees
Positions (direct):
1 La 0.224 0.736 0.736
2 La 0.231 0.231 0.231
3 La 0.264 0.264 0.776
4 La 0.264 0.776 0.264
5 La 0.736 0.224 0.736
6 La 0.736 0.736 0.224
7 La 0.769 0.769 0.769
8 La 0.776 0.264 0.264
9 Ge 0.500 0.500 0.500
10 P 0.000 0.000 0.500
11 P 0.000 0.500 0.000
12 P 0.500 0.000 0.000
13 I 0.000 0.000 0.000
14 I 0.000 0.500 0.500
15 I 0.500 0.000 0.500
16 I 0.500 0.500 0.000

---

(2)
First-principles (PBE) data for a relaxed Au crystal, as listed in Alexandria.

Calculated values
The distance to the lowest polymorph of the same formula is 0.22 eV/f.u. Its formation energy is 0.2232 eV/atom.

Cell lengths 2.758, 2.758, 2.758 Å; angles 90.00, 90.00, 90.00 degrees
Positions (direct):
1 Au 0.000 0.000 0.000

---

(3)
First-principles (PBE) data for a relaxed Al2SiPd8 crystal, as listed in Alexandria.

Calculated values
The distance to the lowest polymorph of the same formula is 0.54 eV/f.u. The uncorrected formation energy comes out at -589 meV per atom.

Cell lengths 6.949, 6.949, 6.949 Å; angles 145.18, 118.17, 72.96 degrees
Positions (direct):
1 Al 0.196 0.196 0.000
2 Al 0.804 0.804 0.000
3 Si 0.500 0.500 0.000
4 Pd 0.069 0.343 0.726
5 Pd 0.183 0.000 0.183
6 Pd 0.366 0.866 0.500
7 Pd 0.383 0.657 0.726
8 Pd 0.617 0.343 0.274
9 Pd 0.634 0.134 0.500
10 Pd 0.817 0.000 0.817
11 Pd 0.931 0.657 0.274

---

(4)
First-principles (PBE) data for a relaxed Nd5Te2N crystal, as listed in Alexandria.

Calculated values
The uncorrected formation energy comes out at -842 meV per atom.

Cell lengths 6.461, 6.461, 14.651 Å; angles 90.00, 90.00, 125.80 degrees
Positions (direct):
1 Nd 0.070 0.930 0.636
2 Nd 0.070 0.930 0.864
3 Nd 0.295 0.705 0.250
4 Nd 0.370 0.630 0.629
5 Nd 0.370 0.630 0.871
6 Nd 0.630 0.370 0.129
7 Nd 0.630 0.370 0.371
8 Nd 0.705 0.295 0.750
9 Nd 0.930 0.070 0.136
10 Nd 0.930 0.070 0.364
11 Te 0.188 0.812 0.055
12 Te 0.188 0.812 0.445
13 Te 0.812 0.188 0.555
14 Te 0.812 0.188 0.945
15 N 0.228 0.772 0.750
16 N 0.772 0.228 0.250

---

(5)
First-principles (PBE) data for a relaxed Th3GaC crystal, as listed in Alexandria.

Calculated values
Its formation energy is -0.3505 eV/atom.

Cell lengths 6.629, 6.629, 10.207 Å; angles 90.00, 90.00, 146.68 degrees
Positions (direct):
1 Th 0.050 0.950 0.750
2 Th 0.368 0.632 0.546
3 Th 0.368 0.632 0.954
4 Th 0.632 0.368 0.046
5 Th 0.632 0.368 0.454
6 Th 0.950 0.050 0.250
7 Ga 0.252 0.748 0.250
8 Ga 0.748 0.252 0.750
9 C 0.000 0.000 0.000
10 C 0.000 0.000 0.500

---

(6)
First-principles (PBE) data for a relaxed Ho4As3Se crystal, as listed in Alexandria.

Calculated values
The distance to the lowest polymorph of the same formula is 0.00 eV/f.u. The uncorrected formation energy comes out at -1631 meV per atom.

Cell lengths 5.782, 5.782, 11.567 Å; angles 90.00, 90.00, 90.00 degrees
Positions (direct):
1 Ho 0.000 0.000 0.246
2 Ho 0.000 0.000 0.754
3 Ho 0.000 0.500 0.000
4 Ho 0.000 0.500 0.500
5 Ho 0.500 0.000 0.000
6 Ho 0.500 0.000 0.500
7 Ho 0.500 0.500 0.254
8 Ho 0.500 0.500 0.746
9 As 0.000 0.000 0.000
10 As 0.000 0.500 0.250
11 As 0.000 0.500 0.750
12 As 0.500 0.000 0.250
13 As 0.500 0.000 0.750
14 As 0.500 0.500 0.500
15 Se 0.000 0.000 0.500
16 Se 0.500 0.500 0.000

---

(7)
First-principles (PBE) data for a relaxed Sr2LiGd crystal, as listed in Alexandria.

Calculated values
The distance to the lowest polymorph of the same formula is 0.24 eV/f.u. Its formation energy is 0.1935 eV/atom.

Cell lengths 6.240, 6.240, 4.158 Å; angles 90.00, 90.00, 90.00 degrees
Positions (direct):
1 Sr 0.000 0.500 0.000
2 Sr 0.500 0.000 0.000
3 Li 0.000 0.000 0.500
4 Gd 0.500 0.500 0.500

---

(8)
First-principles (PBE) data for a relaxed InGeTeSe crystal, as listed in Alexandria.

Calculated values
The uncorrected formation energy comes out at -132 meV per atom.

Cell lengths 7.643, 4.225, 8.427 Å; angles 90.00, 90.31, 90.00 degrees
Positions (direct):
1 In 0.000 0.000 0.000
2 In 0.500 0.500 0.000
3 Ge 0.494 0.500 0.678
4 Ge 0.994 0.000 0.678
5 Te 0.330 0.000 0.168
6 Te 0.830 0.500 0.168
7 Se 0.167 0.500 0.583
8 Se 0.667 0.000 0.583

---

no.,Fermi-level density of states (states/eV/f.u.),VASP energy (eV/atom)
1,8.0,-5.5250
2,0.4,-3.0541
3,3.6,-5.5389
4,8.1,-5.6483
5,5.2,-7.2525
6,2.5,-6.0993
7,7.3,-4.6461
8,2.1,-3.6273